# Cd9Ga3Pb

Cd9Ga3Pb after structural relaxation (PBE-GGA, the Alexandria database).

```
13
Lattice="5.3723 0.0110 2.1807 2.5923 6.9258 1.0522 -0.1320 0.0055 8.0330" Properties=species:S:1:pos:R:3 pbc="T T T"
Ga 3.9823 3.4684 1.6165
Ga 2.6202 0.0083 5.1069
Ga -0.0660 0.0028 4.0165
Cd 1.2961 3.4629 0.5261
Cd 2.1063 1.4913 2.6026
Cd 4.3775 2.4332 4.6111
Cd 5.7264 5.4510 8.6634
Cd 3.1924 1.4968 7.6348
Cd 6.9840 4.5146 5.6692
Cd 0.8487 2.4277 5.5968
Cd 3.4552 4.5091 6.6548
Cd 4.6403 5.4455 3.6312
Pb 0.0000 0.0000 0.0000
```

SG: C2/m (12)
raw total energy: -1.550 eV/atom
calculated formation energy: 0.07 eV per atom
M_tot: 0.0 Bohr magnetons per cell
calculated density: 7.89 g cm⁻³